Compound: CrPb2F6
Source: Alexandria
Functional: PBE with a Hubbard U
Structure: optimized geometry

## Properties
V = 17.9 Å³/atom
calculated total energy = -5.32 eV per atom

```
CrPb2F6
1.0
-3.716 1.677 -4.170
2.551 -4.940 -4.260
-4.957 -5.307 3.185
F Cr Pb
12 2 4
Cartesian
-1.030 -6.138 -3.543
-1.810 -3.800 -0.431
-3.672 -6.230 -1.365
-4.312 -4.769 -4.813
-4.066 -3.904 1.460
-2.450 -2.340 -3.880
-2.056 -4.665 -6.704
-5.092 -2.432 -1.701
-0.132 -1.824 -2.250
-6.534 -4.864 -0.276
0.412 -3.705 -4.968
-5.990 -6.745 -2.995
-0.582 -1.631 -4.215
-2.479 -2.653 1.592
-3.443 -7.699 -3.599
-6.206 -4.254 -3.490
0.084 -4.316 -1.754
-2.679 -0.871 -1.646
```